1.
Below is Mg2Zn after structural relaxation, with properties calculated at the GGA-PBE level.

The structure in POSCAR format:
```
Mg2Zn
1.0
6.743 0.000 0.000
0.000 6.743 0.000
0.000 0.000 3.104
Mg Zn
4 2
direct
0.228 0.228 0.000
0.272 0.728 0.500
0.728 0.272 0.500
0.772 0.772 0.000
0.000 0.000 0.500
0.500 0.500 0.000
```

2.
Below is LiNbNiHg after structural relaxation, with properties calculated at the GGA-PBE level.

Output
- M_tot (Bohr magnetons per cell) = 0.00

The structure in POSCAR format:
```
LiNbNiHg
1.0
6.167 0.000 0.000
0.000 6.167 0.000
0.000 0.000 6.167
Li Nb Ni Hg
4 4 4 4
direct
0.000 0.000 0.000
0.000 0.500 0.500
0.500 0.000 0.500
0.500 0.500 0.000
0.250 0.250 0.750
0.250 0.750 0.250
0.750 0.250 0.250
0.750 0.750 0.750
0.000 0.000 0.500
0.000 0.500 0.000
0.500 0.000 0.000
0.500 0.500 0.500
0.250 0.250 0.250
0.250 0.750 0.750
0.750 0.250 0.750
0.750 0.750 0.250
```

3.
Below is Tl2TcBi after structural relaxation, with properties calculated at the GGA-PBE level.

Output
- M_tot (Bohr magnetons per cell) = 8.09

The structure in POSCAR format:
```
Tl2TcBi
1.0
7.255 0.000 0.000
0.000 7.255 0.000
0.000 0.000 7.255
Tl Tc Bi
8 4 4
direct
0.000 0.000 0.000
0.000 0.500 0.500
0.250 0.250 0.250
0.250 0.750 0.750
0.500 0.000 0.500
0.500 0.500 0.000
0.750 0.250 0.750
0.750 0.750 0.250
0.000 0.000 0.500
0.000 0.500 0.000
0.500 0.000 0.000
0.500 0.500 0.500
0.250 0.250 0.750
0.250 0.750 0.250
0.750 0.250 0.250
0.750 0.750 0.750
```

4.
Below is TaCdO3 after structural relaxation, with properties calculated at the GGA-PBE level.

Output
- M_tot (Bohr magnetons per cell) = 0.02

The structure in POSCAR format:
```
TaCdO3
1.0
5.598 0.000 0.000
0.000 7.896 0.000
0.000 0.000 5.590
Ta Cd O
4 4 12
direct
0.000 0.000 0.000
0.000 0.500 0.000
0.500 0.000 0.500
0.500 0.500 0.500
0.019 0.250 0.496
0.481 0.750 0.996
0.519 0.250 0.004
0.981 0.750 0.504
0.009 0.750 0.074
0.218 0.538 0.718
0.218 0.962 0.718
0.282 0.038 0.218
0.282 0.462 0.218
0.491 0.250 0.574
0.509 0.750 0.426
0.718 0.538 0.782
0.718 0.962 0.782
0.782 0.038 0.282
0.782 0.462 0.282
0.991 0.250 0.926
```

5.
Below is CsCuSnS3 after structural relaxation, with properties calculated at the GGA-PBE level.

The structure in POSCAR format:
```
CsCuSnS3
1.0
10.276 0.000 0.000
0.000 3.921 0.000
0.000 0.000 14.709
Cs Cu Sn S
4 4 4 12
direct
0.021 0.250 0.166
0.479 0.750 0.666
0.521 0.250 0.334
0.979 0.750 0.834
0.170 0.250 0.638
0.330 0.750 0.138
0.670 0.250 0.862
0.830 0.750 0.362
0.151 0.750 0.433
0.349 0.250 0.933
0.651 0.750 0.067
0.849 0.250 0.567
0.039 0.750 0.600
0.215 0.750 0.007
0.250 0.250 0.781
0.250 0.750 0.281
0.285 0.250 0.507
0.461 0.250 0.100
0.539 0.750 0.900
0.715 0.750 0.493
0.750 0.250 0.719
0.750 0.750 0.219
0.785 0.250 0.993
0.961 0.250 0.400
```

6.
Below is CdSn2SO6 after structural relaxation, with properties calculated at the GGA-PBE level.

The structure in POSCAR format:
```
CdSn2SO6
1.0
6.650 0.000 0.000
-3.046 6.418 0.000
-0.070 -2.606 7.155
Cd Sn S O
2 4 2 12
direct
0.199 0.481 0.377
0.801 0.519 0.623
0.345 0.598 0.869
0.350 0.077 0.723
0.650 0.923 0.277
0.655 0.402 0.131
0.158 0.952 0.240
0.842 0.048 0.760
0.040 0.250 0.883
0.080 0.108 0.359
0.166 0.626 0.671
0.277 0.889 0.367
0.319 0.056 0.126
0.463 0.398 0.684
0.537 0.602 0.316
0.681 0.944 0.874
0.723 0.111 0.633
0.834 0.374 0.329
0.920 0.892 0.641
0.960 0.750 0.117
```

7.
Below is SrLu after structural relaxation, with properties calculated at the GGA-PBE level.

Output
- M_tot (Bohr magnetons per cell) = 0.71

The structure in POSCAR format:
```
SrLu
1.0
3.754 0.000 0.000
-1.877 3.251 0.000
0.000 0.000 6.255
Sr Lu
1 1
direct
0.000 0.000 0.000
0.333 0.667 0.500
```

8.
Below is KPrTe3As after structural relaxation, with properties calculated at the GGA-PBE level.

Output
- M_tot (Bohr magnetons per cell) = 0.58

The structure in POSCAR format:
```
KPrTe3As
1.0
2.324 -8.573 0.000
2.324 8.573 0.000
0.000 0.000 10.968
K Pr Te As
2 2 6 2
direct
0.236 0.764 0.750
0.764 0.236 0.250
0.000 0.000 0.000
0.000 0.000 0.500
0.105 0.895 0.250
0.372 0.628 0.051
0.372 0.628 0.449
0.628 0.372 0.551
0.628 0.372 0.949
0.895 0.105 0.750
0.465 0.535 0.250
0.535 0.465 0.750
```

9.
Below is SiAg2B2 after structural relaxation, with properties calculated at the GGA-PBE level.

The structure in POSCAR format:
```
SiAg2B2
1.0
2.877 0.000 0.000
0.000 2.877 0.000
0.000 0.000 15.191
Si Ag B
2 4 4
direct
0.000 0.000 0.000
0.500 0.500 0.500
0.000 0.000 0.377
0.000 0.000 0.623
0.500 0.500 0.123
0.500 0.500 0.877
0.000 0.500 0.250
0.000 0.500 0.750
0.500 0.000 0.250
0.500 0.000 0.750
```

10.
Below is NaDy after structural relaxation, with properties calculated at the GGA-PBE level.

Output
- M_tot (Bohr magnetons per cell) = 0.81

The structure in POSCAR format:
```
NaDy
1.0
6.365 0.000 0.000
0.000 6.365 0.000
0.000 0.000 6.365
Na Dy
4 4
direct
0.000 0.000 0.000
0.000 0.500 0.500
0.500 0.000 0.500
0.500 0.500 0.000
0.000 0.000 0.500
0.000 0.500 0.000
0.500 0.000 0.000
0.500 0.500 0.500
```

11.
Below is ZnMo after structural relaxation, with properties calculated at the GGA-PBE level.

Output
- calculated formation energy (eV per atom) = 0.145
- M_tot (Bohr magnetons per cell) = 0.00

The structure in POSCAR format:
```
ZnMo
1.0
5.357 0.000 0.000
0.000 4.545 0.000
-0.034 0.000 15.153
Zn Mo
12 12
direct
0.093 0.250 0.303
0.096 0.750 0.197
0.184 0.250 0.629
0.185 0.750 0.871
0.326 0.250 0.136
0.327 0.750 0.364
0.673 0.250 0.636
0.674 0.750 0.864
0.815 0.250 0.129
0.816 0.750 0.371
0.904 0.250 0.803
0.907 0.750 0.697
0.090 0.250 0.968
0.091 0.750 0.532
0.405 0.250 0.795
0.408 0.750 0.704
0.428 0.250 0.459
0.429 0.750 0.041
0.571 0.250 0.959
0.572 0.750 0.541
0.592 0.250 0.296
0.595 0.750 0.205
0.909 0.250 0.468
0.910 0.750 0.032
```

12.
Below is CsNb8 after structural relaxation, with properties calculated at the GGA-PBE level.

Output
- M_tot (Bohr magnetons per cell) = 0.07

The structure in POSCAR format:
```
CsNb8
1.0
4.763 -8.243 0.000
4.763 8.243 0.000
0.000 0.000 2.843
Cs Nb
1 8
direct
0.000 0.000 0.000
0.177 0.354 0.500
0.177 0.823 0.500
0.333 0.667 0.500
0.354 0.177 0.500
0.646 0.823 0.500
0.667 0.333 0.500
0.823 0.177 0.500
0.823 0.646 0.500
```

The records above give, respectively, calculated total energy values of -1.287 -4.464 -4.013 -7.504 -4.029 -5.508 -2.808 -4.067 -4.046 -2.147 -5.911 -7.274 eV/atom.